Here is a geometry-optimized UClF2 structure from Alexandria via LeMat-Bulk. Energies are from PBE-GGA.

crystal system	trigonal
DFT total energy	-6.90	eV/atom
uncorrected formation energy	-2684.9	meV/atom
ΔE to the lowest computed polymorph	137	meV/atom
magnetization	3.00	μB/f.u.

Unit cell a=4.0912 b=4.0912 c=14.6790 alpha=90.00 beta=90.00 gamma=120.00
Space group R-3m (No. 166, hexagonal axes)
One atom of each set of equivalent atoms:
U 0.0000 0.0000 0.0000
Cl 0.0000 0.0000 0.5000
F 0.0000 0.0000 0.2952